Entry 1:
A relaxed structure of RbNb2SnH, computed with GGA-PBE.

Output
Calculated total energy in eV/atom: -3.968
Size of the total moment in Bohr magnetons per cell: 5.98

Lattice parameters (Å, degrees): 5.365 7.106 5.365 90.00 90.00 90.00
Site moments in Bohr magnetons follow the coordinates.
Sites, in units of the cell vectors:
H 0.500 0.500 0.500  -0.13
Nb 0.000 0.000 0.500  2.51
Nb 0.500 0.000 0.000  2.05
Sn 0.000 0.000 0.000  -0.05
Rb 0.000 0.500 0.000  0.01


Entry 2:
A relaxed structure of RbSrNbH2, computed with GGA-PBE.

Output
Calculated total energy in eV/atom: -2.892
Size of the total moment in Bohr magnetons per cell: 5.42

Lattice parameters (Å, degrees): 4.919 6.669 4.919 90.00 90.00 90.00
Site moments in Bohr magnetons follow the coordinates.
Sites, in units of the cell vectors:
Sr 0.000 0.000 0.000  0.10
Nb 0.000 0.500 0.000  3.40
Rb 0.500 0.500 0.500  0.09
H 0.000 0.000 0.500  0.01
H 0.500 0.000 0.000  0.01


Entry 3:
A relaxed structure of RbTaNbH2, computed with GGA-PBE.

Output
Calculated total energy in eV/atom: -4.617
Size of the total moment in Bohr magnetons per cell: 1.05

Lattice parameters (Å, degrees): 4.234 5.043 4.234 90.00 90.00 90.00
Site moments in Bohr magnetons follow the coordinates.
Sites, in units of the cell vectors:
H 0.000 0.000 0.500  0.01
H 0.500 0.000 0.000  0.01
Nb 0.000 0.500 0.000  1.19
Rb 0.500 0.500 0.500  0.07
Ta 0.000 0.000 0.000  -0.40


Entry 4:
A relaxed structure of RbTi2NbH, computed with GGA-PBE.

Output
Calculated total energy in eV/atom: -5.043
Size of the total moment in Bohr magnetons per cell: 0.78

Lattice parameters (Å, degrees): 4.765 3.842 4.765 90.00 90.00 90.00
Site moments in Bohr magnetons follow the coordinates.
Sites, in units of the cell vectors:
H 0.000 0.000 0.000  0.00
Nb 0.000 0.500 0.000  -0.06
Rb 0.500 0.500 0.500  0.02
Ti 0.000 0.000 0.500  0.34
Ti 0.500 0.000 0.000  0.29


Entry 5:
A relaxed structure of RbYNbH2, computed with GGA-PBE.

Output
Calculated total energy in eV/atom: -3.545
Size of the total moment in Bohr magnetons per cell: 4.27

Lattice parameters (Å, degrees): 4.369 7.127 4.369 90.00 90.00 90.00
Site moments in Bohr magnetons follow the coordinates.
Sites, in units of the cell vectors:
Y 0.000 0.000 0.000  -0.12
H 0.000 0.000 0.500  0.01
H 0.500 0.000 0.000  0.01
Nb 0.500 0.500 0.500  3.06
Rb 0.000 0.500 0.000  0.13


Entry 6:
A relaxed structure of Nb2ReH2, computed with GGA-PBE.

Output
Calculated total energy in eV/atom: -8.070
Excess energy over the best structure of this formula in the dataset in eV per atom: 0.000
Size of the total moment in Bohr magnetons per cell: 0.00

Lattice parameters (Å, degrees): 3.123 3.123 6.297 75.64 75.64 90.00
Sites, in units of the cell vectors:
Re 0.000 0.000 0.000
Nb 0.360 0.360 0.280
Nb 0.640 0.640 0.720
H 0.750 0.250 0.500
H 0.250 0.750 0.500


These records have DOS(E_F) values of 5.7, 2.4, 3.8, 5.9, 5.0, 3.0 states/eV/cell, in the order they appear.